# 1
GGA-PBE Nd3Y2Er8, relaxed; offset from the most stable computed form = 104.2 meV per atom; mass density = 7.46 g cm⁻³; final energy = -4.65 eV/atom; formation energy = 3.305 eV/f.u.
1.0
10.042 -3.849 0.000
10.042 3.849 0.000
-0.005 0.000 5.612
Nd Y Er
3 2 8
direct
0.000 0.000 0.000
0.293 0.707 0.500
0.707 0.293 0.500
0.241 0.241 0.999
0.759 0.759 0.001
0.134 0.134 0.500
0.182 0.600 0.999
0.330 0.330 0.499
0.400 0.818 0.001
0.600 0.182 0.999
0.670 0.670 0.501
0.818 0.400 0.001
0.866 0.866 0.500

# 2
GGA-PBE LiY2Mg, relaxed; mass density = 3.10 g cm⁻³; final energy = -4.01 eV/atom; formation energy = 0.396 eV/f.u.
1.0
3.461 0.000 0.000
-1.730 2.997 0.000
0.000 0.000 32.424
Li Y Mg
3 6 3
direct
0.000 0.000 0.000
0.333 0.667 0.667
0.667 0.333 0.333
0.000 0.000 0.249
0.000 0.000 0.751
0.333 0.667 0.418
0.333 0.667 0.916
0.667 0.333 0.084
0.667 0.333 0.582
0.000 0.000 0.500
0.333 0.667 0.167
0.667 0.333 0.833